Material: LaTb2PrSm
Method: DFT, PBE-GGA
State: relaxed

Summary:
Energy (eV/atom): -4.396
Theoretical density (g/cm3): 6.850
Total moment (μB/f.u.): 0.00
SG: No. 63
Calculated volume (Å³/f.u.): 181.33

a b c (Å): 7.2422 8.5410 7.2535
angles (deg): 126.07 90.00 90.00
Closest atoms and distances in Å follow each position.
Fractional coordinates of all 10 atoms:
Tb (0.5000, 0.6869, 0.0000)  1 Tb 3.19, 2 Pr 3.23, 2 Sm 3.55
Tb (0.0000, 0.3131, 0.0000)  1 Tb 3.19, 2 Pr 3.23, 2 Sm 3.55
Tb (0.0000, 0.6869, 0.0000)  1 Tb 3.19, 2 Pr 3.23, 2 Sm 3.55
Tb (0.5000, 0.3131, 0.0000)  1 Tb 3.19, 2 Pr 3.23, 2 Sm 3.55
La (0.7500, 0.7346, 0.4691)  1 Pr 3.10
La (0.2500, 0.2654, 0.5309)  1 Pr 3.10
Pr (0.2500, 0.0009, 0.0018)  1 La 3.10, 4 Tb 3.23, 1 Sm 3.26
Pr (0.7500, 0.9991, 0.9982)  1 La 3.10, 4 Tb 3.23, 1 Sm 3.26
Sm (0.7500, 0.2775, 0.5550)  1 Pr 3.26, 4 Tb 3.55, 2 La 3.62
Sm (0.2500, 0.7225, 0.4450)  1 Pr 3.26, 4 Tb 3.55, 2 La 3.62

=====

Material: La2Tb3PrSm6
Method: DFT, PBE-GGA
State: relaxed

Summary:
Energy (eV/atom): -4.718
Theoretical density (g/cm3): 7.281
Total moment (μB/f.u.): 0.00
SG: No. 12
Calculated volume (Å³/f.u.): 410.01

a b c (Å): 6.3108 6.3108 12.0769
angles (deg): 95.02 95.02 120.03
Closest atoms and distances in Å follow each position.
Fractional coordinates of all 12 atoms:
La (0.3335, 0.6665, 0.0000)  3 La 3.64, 3 Pr 3.64-3.65, 6 Sm 3.69
La (0.6665, 0.3335, 0.0000)  3 La 3.64, 3 Pr 3.64-3.65, 6 Sm 3.69
Tb (0.8335, 0.1665, 0.5000)  6 Sm 3.59, 6 Tb 3.64-3.65
Tb (0.1665, 0.8335, 0.5000)  6 Sm 3.59, 6 Tb 3.64-3.65
Tb (0.5000, 0.5000, 0.5000)  6 Sm 3.59, 6 Tb 3.64-3.65
Sm (0.7524, 0.7524, 0.2552)  3 Tb 3.59, 6 Sm 3.64-3.65, 1 Pr 3.69, 2 La 3.69
Sm (0.9145, 0.5814, 0.7448)  3 Tb 3.59, 6 Sm 3.64-3.65, 1 Pr 3.69, 2 La 3.69
Sm (0.0855, 0.4186, 0.2552)  3 Tb 3.59, 6 Sm 3.64-3.65, 1 Pr 3.69, 2 La 3.69
Sm (0.5814, 0.9145, 0.7448)  3 Tb 3.59, 6 Sm 3.64-3.65, 1 Pr 3.69, 2 La 3.69
Sm (0.4186, 0.0855, 0.2552)  3 Tb 3.59, 6 Sm 3.64-3.65, 1 Pr 3.69, 2 La 3.69
Sm (0.2476, 0.2476, 0.7448)  3 Tb 3.59, 6 Sm 3.64-3.65, 1 Pr 3.69, 2 La 3.69
Pr (0.0000, 0.0000, 0.0000)  6 La 3.64-3.65, 6 Sm 3.69

=====

Material: La3TbPr6Sm2
Method: DFT, PBE-GGA
State: relaxed

Summary:
Energy (eV/atom): -4.778
Theoretical density (g/cm3): 6.660
Total moment (μB/f.u.): 0.00
SG: No. 12
Calculated volume (Å³/f.u.): 429.31

a b c (Å): 6.4124 6.4124 12.2522
angles (deg): 95.05 95.05 120.04
Closest atoms and distances in Å follow each position.
Fractional coordinates of all 12 atoms:
Pr (0.5852, 0.9179, 0.7542)  1 Tb 3.65, 2 Sm 3.65-3.66, 6 Pr 3.69-3.71, 3 La 3.73-3.74
Pr (0.7492, 0.7492, 0.2458)  2 Sm 3.65, 1 Tb 3.65, 6 Pr 3.69-3.71, 3 La 3.73-3.74
Pr (0.9179, 0.5852, 0.7542)  1 Tb 3.65, 2 Sm 3.65-3.66, 6 Pr 3.69-3.71, 3 La 3.73-3.74
Pr (0.0821, 0.4148, 0.2458)  1 Tb 3.65, 2 Sm 3.65-3.66, 6 Pr 3.69-3.71, 3 La 3.73-3.74
Pr (0.2508, 0.2508, 0.7542)  2 Sm 3.65, 1 Tb 3.65, 6 Pr 3.69-3.71, 3 La 3.73-3.74
Pr (0.4148, 0.0821, 0.2458)  1 Tb 3.65, 2 Sm 3.65-3.66, 6 Pr 3.69-3.71, 3 La 3.73-3.74
La (0.8335, 0.1665, 0.5000)  6 La 3.70, 6 Pr 3.73-3.74
La (0.1665, 0.8335, 0.5000)  6 La 3.70, 6 Pr 3.73-3.74
La (0.5000, 0.5000, 0.5000)  6 La 3.70, 6 Pr 3.73-3.74
Sm (0.3333, 0.6667, 0.0000)  6 Pr 3.65-3.66, 3 Sm 3.70, 3 Tb 3.70
Sm (0.6667, 0.3333, 0.0000)  6 Pr 3.65-3.66, 3 Sm 3.70, 3 Tb 3.70
Tb (0.0000, 0.0000, 0.0000)  6 Pr 3.65, 6 Sm 3.70

=====

Material: LaTb2Pr2Sm2
Method: DFT, PBE-GGA
State: relaxed

Summary:
Energy (eV/atom): -4.656
Theoretical density (g/cm3): 7.068
Total moment (μB/f.u.): 0.00
SG: No. 12
Calculated volume (Å³/f.u.): 244.18

a b c (Å): 3.5830 6.2272 12.1136
angles (deg): 71.47 90.00 106.72
Closest atoms and distances in Å follow each position.
Fractional coordinates of all 7 atoms:
Tb (0.7762, 0.5524, 0.3620)  3 Sm 3.55-3.62, 4 Tb 3.58-3.66, 3 La 3.59-3.63, 2 Pr 3.69
Tb (0.2238, 0.4476, 0.6380)  3 Sm 3.55-3.62, 4 Tb 3.58-3.66, 3 La 3.59-3.63, 2 Pr 3.69
Sm (0.5520, 0.1041, 0.2290)  3 Tb 3.55-3.62, 4 Pr 3.56-3.68, 2 Sm 3.58, 2 La 3.61
Sm (0.4480, 0.8959, 0.7710)  3 Tb 3.55-3.62, 4 Pr 3.56-3.68, 2 Sm 3.58, 2 La 3.61
Pr (0.6681, 0.3362, 0.9175)  4 Sm 3.56-3.68, 5 Pr 3.58-3.84, 2 Tb 3.69
Pr (0.3319, 0.6638, 0.0825)  4 Sm 3.56-3.68, 5 Pr 3.58-3.84, 2 Tb 3.69
La (0.0000, 0.0000, 0.5000)  2 La 3.58, 6 Tb 3.59-3.63, 4 Sm 3.61

=====

Material: LaTbPrSm
Method: DFT, PBE-GGA
State: relaxed

Summary:
Energy (eV/atom): -4.741
Theoretical density (g/cm3): 7.007
Total moment (μB/f.u.): 0.00
Relative energy among the computed polymorphs (meV per atom): 0
SG: No. 119
Calculated volume (Å³/f.u.): 139.61

a b c (Å): 5.1910 5.1929 6.3494
angles (deg): 114.17 114.13 90.00
Closest atoms and distances in Å follow each position.
Fractional coordinates of all 4 atoms:
Pr (0.1956, 0.6957, 0.3913)  4 La 3.66-3.67, 4 Sm 3.67, 4 Tb 3.67
Tb (0.6955, 0.1954, 0.3909)  4 Sm 3.66-3.67, 4 La 3.67, 4 Pr 3.67
Sm (0.9457, 0.9457, 0.8914)  4 Tb 3.66-3.67, 4 Pr 3.67, 4 La 3.67
La (0.4454, 0.4454, 0.8908)  4 Pr 3.66-3.67, 4 Tb 3.67, 4 Sm 3.67

=====

Material: LaTbPrSm
Method: DFT, PBE-GGA
State: relaxed

Summary:
Energy (eV/atom): -4.651
Theoretical density (g/cm3): 6.994
Total moment (μB/f.u.): 0.00
Relative energy among the computed polymorphs (meV per atom): 90
SG: No. 216
Calculated volume (Å³/f.u.): 139.87

a b c (Å): 5.8266 5.8266 5.8266
angles (deg): 60.00 60.00 60.00
Closest atoms and distances in Å follow each position.
Fractional coordinates of all 4 atoms:
La (0.2500, 0.2500, 0.2500)  4 Sm 3.57, 4 Tb 3.57
Pr (0.7500, 0.7500, 0.7500)  4 Sm 3.57, 4 Tb 3.57
Sm (0.5000, 0.5000, 0.5000)  4 Pr 3.57, 4 La 3.57
Tb (0.0000, 0.0000, 0.0000)  4 La 3.57, 4 Pr 3.57